The following is a PBE calculation of TlAsSe2 after structural relaxation, from the Alexandria database.

The structure belongs to space group I-42d (No. 122); the cell edges are 7.5958, 7.5958 and 8.8186 Å and the angles 90.00°, 90.00° and 90.00°. The asymmetric unit holds Tl at (0.0000, 0.0000, 0.0000), As at (0.0000, 0.0000, 0.5000) and Se at (0.1827, 0.7500, 0.6250).

The crystal system is tetragonal. Its uncorrected formation energy is -0.106 eV per atom.